(1)
This record from Alexandria via LeMat-Bulk describes a relaxed structure of Pm2HgPb9. The functional is PBE-GGA.

CIF file:
```
data_Pm2HgPb9
_chemical_formula_sum 'Pm2 Hg1 Pb9'
_space_group_name_H-M_alt 'P 1'
_space_group_IT_number 1
_space_group_name_Hall 'P 1'
_cell_length_a 4.783
_cell_length_b 4.783
_cell_length_c 15.728
_cell_angle_alpha 90.00
_cell_angle_beta 90.00
_cell_angle_gamma 90.00
loop_
_atom_site_label
_atom_site_fract_x
_atom_site_fract_y
_atom_site_fract_z
Pm1 0.000 0.000 0.152
Pm2 0.000 0.000 0.848
Hg1 0.000 0.000 0.500
Pb1 0.000 0.500 0.000
Pb2 0.000 0.500 0.331
Pb3 0.000 0.500 0.669
Pb4 0.500 0.000 0.000
Pb5 0.500 0.000 0.331
Pb6 0.500 0.000 0.669
Pb7 0.500 0.500 0.170
Pb8 0.500 0.500 0.500
Pb9 0.500 0.500 0.830
```

Output
Theoretical density ... 10.869 g cm⁻³
Energy relative to the elements ... -0.225 eV per atom
D(E_F) ... 4.83 states/eV/cell
Size of the total moment ... 0.0 μB/cell

(2)
This record from Alexandria via LeMat-Bulk describes a relaxed structure of Ac4CdIr2. The functional is PBE-GGA.

CIF file:
```
data_Ac4CdIr2
_chemical_formula_sum 'Ac8 Cd2 Ir4'
_space_group_name_H-M_alt 'P 1'
_space_group_IT_number 1
_space_group_name_Hall 'P 1'
_cell_length_a 7.637
_cell_length_b 7.637
_cell_length_c 14.966
_cell_angle_alpha 90.00
_cell_angle_beta 90.00
_cell_angle_gamma 146.43
loop_
_atom_site_label
_atom_site_fract_x
_atom_site_fract_y
_atom_site_fract_z
Ac1 0.000 0.000 0.000
Ac2 0.000 0.000 0.500
Ac3 0.265 0.735 0.608
Ac4 0.265 0.735 0.892
Ac5 0.435 0.565 0.250
Ac6 0.565 0.435 0.750
Ac7 0.735 0.265 0.108
Ac8 0.735 0.265 0.392
Cd1 0.115 0.885 0.250
Cd2 0.885 0.115 0.750
Ir1 0.368 0.632 0.064
Ir2 0.368 0.632 0.436
Ir3 0.632 0.368 0.564
Ir4 0.632 0.368 0.936
```

Output
Theoretical density ... 9.664 g cm⁻³
Energy relative to the elements ... -0.536 eV per atom
D(E_F) ... 9.91 states/eV/cell
Size of the total moment ... 0.0 μB/cell

(3)
This record from Alexandria via LeMat-Bulk describes a relaxed structure of LiV3Ge. The functional is PBE-GGA.

CIF file:
```
data_LiV3Ge
_chemical_formula_sum 'Li1 V3 Ge1'
_space_group_name_H-M_alt 'P 1'
_space_group_IT_number 1
_space_group_name_Hall 'P 1'
_cell_length_a 4.568
_cell_length_b 4.568
_cell_length_c 4.568
_cell_angle_alpha 90.00
_cell_angle_beta 90.00
_cell_angle_gamma 90.00
loop_
_atom_site_label
_atom_site_fract_x
_atom_site_fract_y
_atom_site_fract_z
Li1 0.000 0.000 0.000
V1 0.000 0.500 0.500
V2 0.500 0.000 0.500
V3 0.500 0.500 0.000
Ge1 0.500 0.500 0.500
```

Output
Theoretical density ... 4.048 g cm⁻³
Energy relative to the elements ... 1.042 eV per atom
Relative energy among the computed polymorphs ... 0.140 eV/atom
D(E_F) ... 5.79 states/eV/cell
Size of the total moment ... 0.0 μB/cell

(4)
This record from Alexandria via LeMat-Bulk describes a relaxed structure of NaTl15In4. The functional is PBE-GGA.

CIF file:
```
data_NaTl15In4
_chemical_formula_sum 'Na1 Tl15 In4'
_space_group_name_H-M_alt 'P 1'
_space_group_IT_number 1
_space_group_name_Hall 'P 1'
_cell_length_a 4.983
_cell_length_b 4.983
_cell_length_c 23.931
_cell_angle_alpha 90.00
_cell_angle_beta 90.00
_cell_angle_gamma 90.00
loop_
_atom_site_label
_atom_site_fract_x
_atom_site_fract_y
_atom_site_fract_z
Na1 0.000 0.000 0.000
Tl1 0.000 0.500 0.100
Tl2 0.000 0.500 0.299
Tl3 0.000 0.500 0.500
Tl4 0.000 0.500 0.701
Tl5 0.000 0.500 0.900
Tl6 0.500 0.000 0.100
Tl7 0.500 0.000 0.299
Tl8 0.500 0.000 0.500
Tl9 0.500 0.000 0.701
Tl10 0.500 0.000 0.900
Tl11 0.500 0.500 0.000
Tl12 0.500 0.500 0.199
Tl13 0.500 0.500 0.400
Tl14 0.500 0.500 0.600
Tl15 0.500 0.500 0.801
In1 0.000 0.000 0.197
In2 0.000 0.000 0.399
In3 0.000 0.000 0.601
In4 0.000 0.000 0.803
```

Output
Theoretical density ... 9.916 g cm⁻³
Energy relative to the elements ... 0.016 eV per atom
D(E_F) ... 12.89 states/eV/cell
Size of the total moment ... 0.0 μB/cell

(5)
This record from Alexandria via LeMat-Bulk describes a relaxed structure of Ac4PrRh. The functional is PBE-GGA.

CIF file:
```
data_Ac4PrRh
_chemical_formula_sum 'Ac8 Pr2 Rh2'
_space_group_name_H-M_alt 'P 1'
_space_group_IT_number 1
_space_group_name_Hall 'P 1'
_cell_length_a 10.207
_cell_length_b 10.207
_cell_length_c 6.669
_cell_angle_alpha 109.04
_cell_angle_beta 109.04
_cell_angle_gamma 45.59
loop_
_atom_site_label
_atom_site_fract_x
_atom_site_fract_y
_atom_site_fract_z
Ac1 0.137 0.634 0.386
Ac2 0.227 0.773 0.000
Ac3 0.322 0.322 0.823
Ac4 0.366 0.863 0.614
Ac5 0.634 0.137 0.386
Ac6 0.678 0.678 0.177
Ac7 0.773 0.227 0.000
Ac8 0.863 0.366 0.614
Pr1 0.197 0.197 0.198
Pr2 0.803 0.803 0.802
Rh1 0.498 0.498 0.287
Rh2 0.502 0.502 0.713
```

Output
Theoretical density ... 8.240 g cm⁻³
Energy relative to the elements ... -0.185 eV per atom
D(E_F) ... 17.49 states/eV/cell
Size of the total moment ... 0.0 μB/cell

(6)
This record from Alexandria via LeMat-Bulk describes a relaxed structure of Li2CeHo2Si2. The functional is PBE-GGA.

CIF file:
```
data_Li2CeHo2Si2
_chemical_formula_sum 'Li2 Ce1 Ho2 Si2'
_space_group_name_H-M_alt 'P 1'
_space_group_IT_number 1
_space_group_name_Hall 'P 1'
_cell_length_a 9.114
_cell_length_b 9.114
_cell_length_c 9.114
_cell_angle_alpha 28.50
_cell_angle_beta 28.50
_cell_angle_gamma 28.50
loop_
_atom_site_label
_atom_site_fract_x
_atom_site_fract_y
_atom_site_fract_z
Li1 0.094 0.094 0.094
Li2 0.906 0.906 0.906
Ce1 0.500 0.500 0.500
Ho1 0.372 0.372 0.372
Ho2 0.628 0.628 0.628
Si1 0.241 0.241 0.241
Si2 0.759 0.759 0.759
```

Output
Theoretical density ... 5.889 g cm⁻³
DFT total energy ... -4.602 eV per atom
D(E_F) ... 8.97 states/eV/cell
Size of the total moment ... 1.2 μB/cell